(A)
A relaxed structure of Na2TiMo. Source: Alexandria, functional GGA-PBE.

Properties
The value obtained for the theoretical density is 3638 kg/m3. For the total magnetic moment, the calculation gives 0.341 μB/atom.

POSCAR file:
```
Na2TiMo
1.0
0.000 3.512 3.512
3.512 0.000 3.512
3.512 3.512 0.000
Na Ti Mo
2 1 1
Direct
0.250 0.250 0.250
0.750 0.750 0.750
0.000 0.000 0.000
0.500 0.500 0.500
```

---

(B)
A relaxed structure of Na2TiMo. Source: Alexandria, functional GGA-PBE.

Properties
The value obtained for the theoretical density is 3692 kg/m3. For the total magnetic moment, the calculation gives 0.117 μB/atom.

POSCAR file:
```
Na2TiMo
1.0
-4.160 4.160 2.466
4.160 -4.160 2.466
4.160 4.160 -2.466
Na Ti Mo
4 2 2
Direct
0.122 0.625 0.997
0.375 0.372 0.497
0.628 0.125 0.003
0.875 0.878 0.503
0.250 0.750 0.500
0.500 0.500 0.000
0.000 0.000 0.000
0.750 0.250 0.500
```

---

Sorted by energy, starting with the most stable: (B), (A).